1.
DFT (GGA-PBEsol) results for a geometry-optimized SbTe2NF structure.

Results
ΔE_f (raw), eV/atom: 0.985
Magnetic moment, μB/atom: 0.540

CIF file:
```
data_SbTe2NF
_space_group_name_H-M_alt 'P 4/m m m'
_space_group_IT_number 123
_space_group_name_Hall '-P 4 2'
_cell_length_a 5.015
_cell_length_b 5.015
_cell_length_c 4.612
_cell_angle_alpha 90.00
_cell_angle_beta 90.00
_cell_angle_gamma 90.00
loop_
_atom_site_label
_atom_site_type_symbol
_atom_site_fract_x
_atom_site_fract_y
_atom_site_fract_z
Sb1 Sb 0.000 0.000 0.000
Te1 Te 0.000 0.500 0.500
N1 N 0.500 0.500 0.000
F1 F 0.000 0.000 0.500
```



2.
DFT (GGA-PBEsol) results for a geometry-optimized ZnSbN2F structure.

Results
ΔE_f (raw), eV/atom: 0.411
Magnetic moment, μB/atom: 0.060

CIF file:
```
data_ZnSbN2F
_space_group_name_H-M_alt 'P 4/m m m'
_space_group_IT_number 123
_space_group_name_Hall '-P 4 2'
_cell_length_a 3.892
_cell_length_b 3.892
_cell_length_c 3.917
_cell_angle_alpha 90.00
_cell_angle_beta 90.00
_cell_angle_gamma 90.00
loop_
_atom_site_label
_atom_site_type_symbol
_atom_site_fract_x
_atom_site_fract_y
_atom_site_fract_z
Zn1 Zn 0.000 0.000 0.000
Sb1 Sb 0.500 0.500 0.500
N1 N 0.000 0.500 0.000
F1 F 0.000 0.000 0.500
```



3.
DFT (GGA-PBEsol) results for a geometry-optimized Sc3NF structure.

Results
ΔE_f (raw), eV/atom: -0.991
Magnetic moment, μB/atom: 0.000

CIF file:
```
data_Sc3NF
_space_group_name_H-M_alt 'P m -3 m'
_space_group_IT_number 221
_space_group_name_Hall '-P 4 2 3'
_cell_length_a 4.358
_cell_length_b 4.358
_cell_length_c 4.358
_cell_angle_alpha 90.00
_cell_angle_beta 90.00
_cell_angle_gamma 90.00
loop_
_atom_site_label
_atom_site_type_symbol
_atom_site_fract_x
_atom_site_fract_y
_atom_site_fract_z
Sc1 Sc 0.000 0.000 0.500
N1 N 0.000 0.000 0.000
F1 F 0.500 0.500 0.500
```



Which formula does entry 3 have?
Sc3NF



What did the second record say?
DFT (GGA-PBEsol) results for a geometry-optimized ZnSbN2F structure.

Results
ΔE_f (raw), eV/atom: 0.411
Magnetic moment, μB/atom: 0.060

CIF file:
```
data_ZnSbN2F
_space_group_name_H-M_alt 'P 4/m m m'
_space_group_IT_number 123
_space_group_name_Hall '-P 4 2'
_cell_length_a 3.892
_cell_length_b 3.892
_cell_length_c 3.917
_cell_angle_alpha 90.00
_cell_angle_beta 90.00
_cell_angle_gamma 90.00
loop_
_atom_site_label
_atom_site_type_symbol
_atom_site_fract_x
_atom_site_fract_y
_atom_site_fract_z
Zn1 Zn 0.000 0.000 0.000
Sb1 Sb 0.500 0.500 0.500
N1 N 0.000 0.500 0.000
F1 F 0.000 0.000 0.500
```